No. 1
The following is a DFT calculation (PBE) of an optimized crystal structure of CuP2Cl.

Computed properties:
SG: R3m
Crystal system: trigonal
Formation energy without anion corrections (eV per atom): -0.1189

Lattice parameters (Å, degrees): 8.249 8.249 8.249 23.47 23.47 23.47
Element x y z (fractional)
Cl (0.465, 0.465, 0.465)
Cu (0.743, 0.743, 0.743)
P (0.006, 0.006, 0.006)
P (0.286, 0.286, 0.286)

No. 2
The following is a DFT calculation (PBE) of an optimized crystal structure of CuP2Cl.

Computed properties:
SG: R-3m
Crystal system: trigonal
Formation energy without anion corrections (eV per atom): 0.2031

Lattice parameters (Å, degrees): 6.467 6.467 6.467 33.37 33.37 33.37
Element x y z (fractional)
Cl (0.250, 0.250, 0.250)
Cu (0.750, 0.750, 0.750)
P (0.033, 0.033, 0.033)
P (0.467, 0.467, 0.467)

No. 3
The following is a DFT calculation (PBE) of an optimized crystal structure of CuPCl.

Computed properties:
SG: F-43m
Crystal system: cubic
Formation energy without anion corrections (eV per atom): 0.6710

Lattice parameters (Å, degrees): 4.270 4.270 4.270 60.00 60.00 60.00
Site moments in Bohr magnetons follow the coordinates.
Element x y z (fractional)
Cl (0.500, 0.500, 0.500)  0.09
Cu (0.250, 0.250, 0.250)  0.12
P (0.000, 0.000, 0.000)  0.21

No. 4
The following is a DFT calculation (PBE) of an optimized crystal structure of CuP2Cl.

Computed properties:
SG: P4mm
Crystal system: tetragonal
Formation energy without anion corrections (eV per atom): 0.0278

Lattice parameters (Å, degrees): 3.200 3.200 7.702 90.00 90.00 90.00
Element x y z (fractional)
Cl (0.000, 0.000, 0.614)
Cu (0.500, 0.500, 0.734)
P (0.000, 0.000, 0.126)
P (0.500, 0.500, 0.026)

No. 5
The following is a DFT calculation (PBE) of an optimized crystal structure of CuP2Cl.

Computed properties:
SG: P4/mmm
Crystal system: tetragonal
Formation energy without anion corrections (eV per atom): 0.3172

Lattice parameters (Å, degrees): 3.542 3.542 5.812 90.00 90.00 90.00
Element x y z (fractional)
Cl (0.500, 0.500, 0.250)
Cu (0.500, 0.500, 0.750)
P (0.000, 0.000, 0.924)
P (0.000, 0.000, 0.576)

No. 6
The following is a DFT calculation (PBE) of an optimized crystal structure of CuPPbCl2.

Computed properties:
SG: P4/mmm
Crystal system: tetragonal
Formation energy without anion corrections (eV per atom): -0.0628

Lattice parameters (Å, degrees): 4.700 4.700 4.908 90.00 90.00 90.00
Element x y z (fractional)
Pb (0.500, 0.500, 0.500)
P (0.000, 0.000, 0.500)
Cu (0.000, 0.000, 0.000)
Cl (0.000, 0.500, 0.000)
Cl (0.500, 0.000, 0.000)

For reference, magnetization by record: 0.000 0.000 0.676 0.000 0.000 0.000 μB/f.u..